Record 1
Crystalline ScAgAs2 at its relaxed geometry, computed with PBE.

Formation enthalpy at 0 K, eV/atom: -0.44
Volume, Å³/cell: 75.6
Space group: I-4m2, No. 119

Cell: 5.647 5.647 5.647 Å, 139.38 139.38 58.80°
Positions (direct):
Sc 0.000 0.000 0.000
Ag 0.250 0.750 0.500
As 0.500 0.500 0.000
As 0.750 0.250 0.500

=====

Record 2
Crystalline ScAgAs at its relaxed geometry, computed with PBE.

Formation enthalpy at 0 K, eV/atom: -0.49
Volume, Å³/cell: 59.5
Space group: P3m1, No. 156

Cell: 4.244 4.244 3.817 Å, 90.00 90.00 120.00°
Positions (direct):
Sc 0.000 0.000 0.000
Ag 0.667 0.333 0.428
As 0.333 0.667 0.653

=====

Record 3
Crystalline Sc2AgAs at its relaxed geometry, computed with PBE.

Formation enthalpy at 0 K, eV/atom: -0.66
Volume, Å³/cell: 78.5
Space group: P2/m, No. 10

Cell: 3.510 3.498 6.392 Å, 90.00 90.32 90.00°
Positions (direct):
Sc 0.002 0.000 0.266
Sc 0.998 0.000 0.734
Ag 0.500 0.500 0.000
As 0.500 0.500 0.500

=====

Record 4
Crystalline ScAgAs2 at its relaxed geometry, computed with PBE.

Formation enthalpy at 0 K, eV/atom: -0.35
Volume, Å³/cell: 82.5
Space group: R-3m, No. 166

Cell: 6.066 6.066 6.066 Å, 39.83 39.83 39.83°
Positions (direct):
Sc 0.000 0.000 0.000
Ag 0.500 0.500 0.500
As 0.253 0.253 0.253
As 0.747 0.747 0.747

=====

Record 5
Crystalline ScAgAs2 at its relaxed geometry, computed with PBE.

Formation enthalpy at 0 K, eV/atom: -0.49
Volume, Å³/cell: 76.5
Space group: Cm, No. 8

Cell: 5.337 5.337 4.295 Å, 104.55 104.55 40.46°
Positions (direct):
Sc 0.000 0.000 0.000
Ag 0.234 0.234 0.621
As 0.484 0.484 0.494
As 0.732 0.732 0.091

=====

Record 6
Crystalline Sc2AgAs at its relaxed geometry, computed with PBE.

Formation enthalpy at 0 K, eV/atom: -0.56
Volume, Å³/cell: 77.7
Space group: Immm, No. 71

Cell: 4.960 4.960 4.960 Å, 126.05 125.28 80.44°
Positions (direct):
Sc 0.248 0.248 0.000
Sc 0.752 0.752 0.000
Ag 0.500 0.000 0.500
As 0.000 0.500 0.500

=====

Record 7
Crystalline Sc3AgAs at its relaxed geometry, computed with PBE.

Formation enthalpy at 0 K, eV/atom: -0.22
Volume, Å³/cell: 126.5
Relative energy among the computed polymorphs, eV/atom: 0.0000
Space group: Pm-3m, No. 221

Cell: 5.020 5.020 5.020 Å, 90.00 90.00 90.00°
Positions (direct):
Sc 0.000 0.000 0.500
Sc 0.000 0.500 0.000
Sc 0.500 0.000 0.000
Ag 0.500 0.500 0.500
As 0.000 0.000 0.000

=====

Record 8
Crystalline ScAgAs2 at its relaxed geometry, computed with PBE.

Formation enthalpy at 0 K, eV/atom: -0.46
Volume, Å³/cell: 74.9
Space group: Cmmm, No. 65

Cell: 4.543 4.543 3.632 Å, 90.00 90.00 90.33°
Positions (direct):
Sc 0.000 0.000 0.000
Ag 0.500 0.500 0.000
As 0.000 0.500 0.500
As 0.500 0.000 0.500

=====

Record 9
Crystalline ScAgAs at its relaxed geometry, computed with PBE.

Formation enthalpy at 0 K, eV/atom: -0.27
Volume, Å³/cell: 122.6
Space group: C2/m, No. 12

Cell: 5.902 5.902 7.371 Å, 106.31 106.31 29.93°
Positions (direct):
Sc 0.025 0.025 0.267
Sc 0.975 0.975 0.733
Ag 0.207 0.207 0.632
Ag 0.793 0.793 0.368
As 0.376 0.376 0.981
As 0.624 0.624 0.019

=====

Record 10
Crystalline Sc2AgAs at its relaxed geometry, computed with PBE.

Formation enthalpy at 0 K, eV/atom: -0.01
Volume, Å³/cell: 81.1
Space group: F-43m, No. 216

Cell: 4.858 4.858 4.858 Å, 60.00 60.00 60.00°
Positions (direct):
Sc 0.000 0.000 0.000
Sc 0.250 0.250 0.250
Ag 0.750 0.750 0.750
As 0.500 0.500 0.500

=====

Record 11
Crystalline Sc2AgAs at its relaxed geometry, computed with PBE.

Formation enthalpy at 0 K, eV/atom: -0.56
Volume, Å³/cell: 86.8
Space group: P4/mmm, No. 123

Cell: 3.949 3.949 5.567 Å, 90.00 90.00 90.00°
Positions (direct):
Sc 0.000 0.000 0.000
Sc 0.500 0.500 0.500
Ag 0.000 0.000 0.500
As 0.500 0.500 0.000

=====

Record 12
Crystalline ScAgAs2 at its relaxed geometry, computed with PBE.

Formation enthalpy at 0 K, eV/atom: -0.14
Volume, Å³/cell: 82.5
Space group: P4mm, No. 99

Cell: 2.986 2.986 9.253 Å, 90.00 90.00 90.00°
Positions (direct):
Sc 0.000 0.000 0.000
Ag 0.500 0.500 0.235
As 0.000 0.000 0.453
As 0.500 0.500 0.795

=====

Number 1: electronic total energy -5.06 eV per atom, size of the total moment 0.0 Bohr magnetons per cell. Number 2: electronic total energy -5.10 eV per atom, size of the total moment 0.0 Bohr magnetons per cell. Number 3: electronic total energy -5.70 eV per atom, size of the total moment 0.7 Bohr magnetons per cell. Number 4: electronic total energy -4.97 eV per atom, size of the total moment 0.0 Bohr magnetons per cell. Number 5: electronic total energy -5.11 eV per atom, size of the total moment 0.0 Bohr magnetons per cell. Number 6: electronic total energy -5.60 eV per atom, size of the total moment 0.7 Bohr magnetons per cell. Number 7: electronic total energy -5.52 eV per atom, size of the total moment 1.1 Bohr magnetons per cell. Number 8: electronic total energy -5.08 eV per atom, size of the total moment 0.0 Bohr magnetons per cell. Number 9: electronic total energy -4.88 eV per atom, size of the total moment 0.0 Bohr magnetons per cell. Number 10: electronic total energy -5.05 eV per atom, size of the total moment 0.0 Bohr magnetons per cell. Number 11: electronic total energy -5.60 eV per atom, size of the total moment 0.0 Bohr magnetons per cell. Number 12: electronic total energy -4.76 eV per atom, size of the total moment 0.0 Bohr magnetons per cell.